The following is a PBE calculation of a relaxed structure of NaTbGa2Au2, from Alexandria.

Symmetry ... P-3m1
ΔH_f (0 K) ... -3.26 eV/f.u.

Lattice parameters (Å, degrees): 4.563 4.563 6.956 90.00 90.00 120.00
Atoms (fractional coordinates):
Na: 0.000 0.000 0.000
Tb: 0.000 0.000 0.500
Ga: 0.333 0.667 0.757
Ga: 0.667 0.333 0.243
Au: 0.333 0.667 0.261
Au: 0.667 0.333 0.739